# PBE SrSi3H, relaxed
# ΔE to the lowest computed polymorph ... 0.00 eV per formula unit
# Size of the total moment ... 0.00 μB/f.u.
# Crystal system ... cubic
data_SrSi3H
_chemical_formula_sum 'Sr1 Si3 H1'
_symmetry_space_group_name_H-M 'P m -3 m'
_symmetry_Int_Tables_number 221
_symmetry_space_group_name_Hall '-P 4 2 3'
_cell_length_a 4.354
_cell_length_b 4.354
_cell_length_c 4.354
_cell_angle_alpha 90.00
_cell_angle_beta 90.00
_cell_angle_gamma 90.00
loop_
_atom_site_label
_atom_site_type_symbol
_atom_site_fract_x
_atom_site_fract_y
_atom_site_fract_z
Sr1 Sr 0.000 0.000 0.000
Si1 Si 0.000 0.500 0.500
H1 H 0.500 0.500 0.500